1.
# TiAg3F6, optimized geometry, DFT PBE
# * uncorrected energy: -47.0 eV per cell
# * E_form (uncorrected): -1.931 eV/atom
# * crystal system: orthorhombic
data_TiAg3F6
_chemical_formula_sum 'Ti1 Ag3 F6'
_space_group_name_H-M_alt 'P 1'
_space_group_IT_number 1
_space_group_name_Hall 'P 1'
_cell_length_a 6.9758
_cell_length_b 6.5583
_cell_length_c 5.5506
_cell_angle_alpha 69.78
_cell_angle_beta 61.91
_cell_angle_gamma 48.30
loop_
_atom_site_label
_atom_site_type_symbol
_atom_site_fract_x
_atom_site_fract_y
_atom_site_fract_z
Ti1 Ti 0.0000 0.0000 0.0000
Ag1 Ag 0.2500 0.2500 0.2500
Ag2 Ag 0.5000 0.5000 0.5000
Ag3 Ag 0.7500 0.7500 0.7500
F1 F 0.0674 0.6855 0.9326
F2 F 0.2212 0.7788 0.2212
F3 F 0.3145 0.9326 0.6855
F4 F 0.6855 0.0674 0.3145
F5 F 0.7788 0.2212 0.7788
F6 F 0.9326 0.3145 0.0674

2.
# TiAg2F, optimized geometry, DFT PBE
# * uncorrected energy: -15.6 eV per cell
# * E_form (uncorrected): -0.045 eV/atom
# * relative energy among the computed polymorphs: 234 meV per atom
# * crystal system: cubic
data_TiAg2F
_chemical_formula_sum 'Ti1 Ag2 F1'
_space_group_name_H-M_alt 'P 1'
_space_group_IT_number 1
_space_group_name_Hall 'P 1'
_cell_length_a 4.5463
_cell_length_b 4.5463
_cell_length_c 4.5463
_cell_angle_alpha 60.00
_cell_angle_beta 60.00
_cell_angle_gamma 60.00
loop_
_atom_site_label
_atom_site_type_symbol
_atom_site_fract_x
_atom_site_fract_y
_atom_site_fract_z
Ti1 Ti 0.0000 0.0000 0.0000
Ag1 Ag 0.2500 0.2500 0.2500
Ag2 Ag 0.7500 0.7500 0.7500
F1 F 0.5000 0.5000 0.5000

3.
# TiAgF6, optimized geometry, DFT PBE
# * uncorrected energy: -40.7 eV per cell
# * E_form (uncorrected): -2.344 eV/atom
# * crystal system: trigonal
data_TiAgF6
_chemical_formula_sum 'Ti1 Ag1 F6'
_space_group_name_H-M_alt 'P 1'
_space_group_IT_number 1
_space_group_name_Hall 'P 1'
_cell_length_a 4.7507
_cell_length_b 4.7507
_cell_length_c 4.7507
_cell_angle_alpha 92.76
_cell_angle_beta 92.76
_cell_angle_gamma 92.76
loop_
_atom_site_label
_atom_site_type_symbol
_atom_site_fract_x
_atom_site_fract_y
_atom_site_fract_z
Ti1 Ti 0.0000 0.0000 0.0000
Ag1 Ag 0.5000 0.5000 0.5000
F1 F 0.1125 0.7294 0.7294
F2 F 0.2706 0.2706 0.8875
F3 F 0.2706 0.8875 0.2706
F4 F 0.7294 0.1125 0.7294
F5 F 0.7294 0.7294 0.1125
F6 F 0.8875 0.2706 0.2706

4.
# TiAg6F12, optimized geometry, DFT PBE
# * uncorrected energy: -79.8 eV per cell
# * E_form (uncorrected): -1.703 eV/atom
# * crystal system: trigonal
data_TiAg6F12
_chemical_formula_sum 'Ti1 Ag6 F12'
_space_group_name_H-M_alt 'P 1'
_space_group_IT_number 1
_space_group_name_Hall 'P 1'
_cell_length_a 6.7944
_cell_length_b 6.7944
_cell_length_c 6.7944
_cell_angle_alpha 99.16
_cell_angle_beta 99.16
_cell_angle_gamma 99.16
loop_
_atom_site_label
_atom_site_type_symbol
_atom_site_fract_x
_atom_site_fract_y
_atom_site_fract_z
Ti1 Ti 0.0000 0.0000 0.0000
Ag1 Ag 0.1439 0.5956 0.3095
Ag2 Ag 0.3095 0.1439 0.5956
Ag3 Ag 0.4044 0.6905 0.8561
Ag4 Ag 0.5956 0.3095 0.1439
Ag5 Ag 0.6905 0.8561 0.4044
Ag6 Ag 0.8561 0.4044 0.6905
F1 F 0.0102 0.7197 0.9375
F2 F 0.0625 0.9898 0.2803
F3 F 0.1664 0.4168 0.6158
F4 F 0.2803 0.0625 0.9898
F5 F 0.3842 0.8336 0.5832
F6 F 0.4168 0.6158 0.1664
F7 F 0.5832 0.3842 0.8336
F8 F 0.6158 0.1664 0.4168
F9 F 0.7197 0.9375 0.0102
F10 F 0.8336 0.5832 0.3842
F11 F 0.9375 0.0102 0.7197
F12 F 0.9898 0.2803 0.0625

5.
# TiAg3F9, optimized geometry, DFT PBE
# * uncorrected energy: -117.5 eV per cell
# * E_form (uncorrected): -1.958 eV/atom
# * crystal system: monoclinic
data_TiAg3F9
_chemical_formula_sum 'Ti2 Ag6 F18'
_space_group_name_H-M_alt 'P 1'
_space_group_IT_number 1
_space_group_name_Hall 'P 1'
_cell_length_a 7.2942
_cell_length_b 7.2942
_cell_length_c 10.5019
_cell_angle_alpha 106.66
_cell_angle_beta 106.66
_cell_angle_gamma 63.53
loop_
_atom_site_label
_atom_site_type_symbol
_atom_site_fract_x
_atom_site_fract_y
_atom_site_fract_z
Ti1 Ti 0.0278 0.9722 0.5000
Ti2 Ti 0.9722 0.0278 0.0000
Ag1 Ag 0.0036 0.4205 0.7817
Ag2 Ag 0.1228 0.5897 0.1924
Ag3 Ag 0.3613 0.6805 0.8042
Ag4 Ag 0.4205 0.0036 0.2817
Ag5 Ag 0.5897 0.1228 0.6924
Ag6 Ag 0.6805 0.3613 0.3042
F1 F 0.0205 0.1481 0.8888
F2 F 0.0469 0.7822 0.8611
F3 F 0.1013 0.6910 0.4103
F4 F 0.1139 0.4812 0.9869
F5 F 0.1481 0.0205 0.3888
F6 F 0.2637 0.9139 0.6375
F7 F 0.2723 0.9215 0.0744
F8 F 0.3000 0.3665 0.7493
F9 F 0.3665 0.3000 0.2493
F10 F 0.4812 0.1139 0.4869
F11 F 0.5276 0.6868 0.2941
F12 F 0.6868 0.5276 0.7941
F13 F 0.6910 0.1013 0.9103
F14 F 0.7822 0.0469 0.3611
F15 F 0.8836 0.9315 0.6079
F16 F 0.9139 0.2637 0.1375
F17 F 0.9215 0.2723 0.5744
F18 F 0.9315 0.8836 0.1079

6.
# TiAg2F, optimized geometry, DFT PBE
# * uncorrected energy: -33.2 eV per cell
# * E_form (uncorrected): -0.279 eV/atom
# * relative energy among the computed polymorphs: 0 meV per atom
# * crystal system: tetragonal
data_TiAg2F
_chemical_formula_sum 'Ti2 Ag4 F2'
_space_group_name_H-M_alt 'P 1'
_space_group_IT_number 1
_space_group_name_Hall 'P 1'
_cell_length_a 5.8847
_cell_length_b 5.8847
_cell_length_c 5.8847
_cell_angle_alpha 99.92
_cell_angle_beta 99.92
_cell_angle_gamma 130.95
loop_
_atom_site_label
_atom_site_type_symbol
_atom_site_fract_x
_atom_site_fract_y
_atom_site_fract_z
Ti1 Ti 0.0000 0.0000 0.0000
Ti2 Ti 0.7500 0.2500 0.5000
Ag1 Ag 0.1776 0.6250 0.0526
Ag2 Ag 0.3750 0.4276 0.5526
Ag3 Ag 0.5724 0.1250 0.9474
Ag4 Ag 0.8750 0.8224 0.4474
F1 F 0.2500 0.7500 0.5000
F2 F 0.5000 0.5000 0.0000

7.
# Ti2Ag5F12, optimized geometry, DFT PBE
# * uncorrected energy: -91.3 eV per cell
# * E_form (uncorrected): -2.042 eV/atom
# * crystal system: monoclinic
data_Ti2Ag5F12
_chemical_formula_sum 'Ti2 Ag5 F12'
_space_group_name_H-M_alt 'P 1'
_space_group_IT_number 1
_space_group_name_Hall 'P 1'
_cell_length_a 7.5126
_cell_length_b 7.5126
_cell_length_c 8.1553
_cell_angle_alpha 110.95
_cell_angle_beta 110.95
_cell_angle_gamma 48.53
loop_
_atom_site_label
_atom_site_type_symbol
_atom_site_fract_x
_atom_site_fract_y
_atom_site_fract_z
Ti1 Ti 0.2426 0.7574 0.0000
Ti2 Ti 0.7574 0.2426 0.0000
Ag1 Ag 0.1989 0.1989 0.8103
Ag2 Ag 0.2336 0.2336 0.4636
Ag3 Ag 0.5000 0.5000 0.5000
Ag4 Ag 0.7664 0.7664 0.5364
Ag5 Ag 0.8011 0.8011 0.1897
F1 F 0.0345 0.0345 0.1798
F2 F 0.1020 0.6202 0.9837
F3 F 0.1129 0.5973 0.4196
F4 F 0.3798 0.8980 0.0163
F5 F 0.4027 0.8871 0.5804
F6 F 0.4662 0.4662 0.8350
F7 F 0.5338 0.5338 0.1650
F8 F 0.5973 0.1129 0.4196
F9 F 0.6202 0.1020 0.9837
F10 F 0.8871 0.4027 0.5804
F11 F 0.8980 0.3798 0.0163
F12 F 0.9655 0.9655 0.8202

8.
# TiAgF4, optimized geometry, DFT PBE
# * uncorrected energy: -65.6 eV per cell
# * E_form (uncorrected): -2.425 eV/atom
# * relative energy among the computed polymorphs: 198 meV per atom
# * crystal system: tetragonal
data_TiAgF4
_chemical_formula_sum 'Ti2 Ag2 F8'
_space_group_name_H-M_alt 'P 1'
_space_group_IT_number 1
_space_group_name_Hall 'P 1'
_cell_length_a 7.7817
_cell_length_b 7.7817
_cell_length_c 2.9683
_cell_angle_alpha 90.00
_cell_angle_beta 90.00
_cell_angle_gamma 90.00
loop_
_atom_site_label
_atom_site_type_symbol
_atom_site_fract_x
_atom_site_fract_y
_atom_site_fract_z
Ti1 Ti 0.2500 0.7500 0.0000
Ti2 Ti 0.7500 0.2500 0.0000
Ag1 Ag 0.2500 0.2500 0.2491
Ag2 Ag 0.7500 0.7500 0.7509
F1 F 0.0262 0.7500 0.2363
F2 F 0.2500 0.5262 0.7637
F3 F 0.2500 0.9738 0.7637
F4 F 0.4738 0.7500 0.2363
F5 F 0.5262 0.2500 0.7637
F6 F 0.7500 0.0262 0.2363
F7 F 0.7500 0.4738 0.2363
F8 F 0.9738 0.2500 0.7637